Entry 1:
A PBEsol-optimized structure of TlTc2Pb, computed with SCAN.

For the formation energy from the elements, the calculation gives 1.0091 eV per atom. The magnetization is 0.00 μB/f.u. As for the energy above the lowest structure with this stoichiometry: 0.703 eV per atom.

Structure (POSCAR):
```
TlTc2Pb
1.0
-0.478 3.606 1.754
-0.952 -1.818 3.479
4.993 -0.896 -1.447
Pb Tc Tl
1 2 1
Direct
0.250 0.750 0.500
0.000 0.000 0.000
0.750 0.250 0.500
0.500 0.500 0.000
```

Entry 2:
A PBEsol-optimized structure of TlTc2Pb, computed with SCAN.

For the formation energy from the elements, the calculation gives 0.8724 eV per atom. The magnetization is 2.23 μB/f.u. As for the energy above the lowest structure with this stoichiometry: 0.566 eV per atom.

Structure (POSCAR):
```
TlTc2Pb
1.0
-2.652 -0.119 -1.941
-2.271 -2.440 3.252
-1.559 3.963 1.886
Tc Tl Pb
2 1 1
Direct
0.000 0.000 0.500
0.000 0.500 0.000
0.500 0.500 0.500
0.500 0.000 0.000
```

Entry 3:
A PBEsol-optimized structure of TlTcPb2, computed with SCAN.

For the formation energy from the elements, the calculation gives 0.7360 eV per atom. The magnetization is 2.28 μB/f.u. As for the energy above the lowest structure with this stoichiometry: 0.344 eV per atom.

Structure (POSCAR):
```
TlTcPb2
1.0
5.110 0.000 0.000
2.555 4.425 0.000
2.555 1.475 4.172
Pb Tc Tl
2 1 1
Direct
0.750 0.750 0.750
0.250 0.250 0.250
0.000 0.000 0.000
0.500 0.500 0.500
```